(1)
The following is a GGA-PBE calculation of a relaxed structure of ScTeBr2, from Alexandria via LeMat-Bulk.

Unit cell a=4.733 b=4.766 c=9.841 alpha=90.00 beta=90.00 gamma=90.00
Space group Cmm2 (No. 35)
Unique sites:
Sc (0.000, 0.000, 0.000) (multiplicity 2)
Te (0.000, 0.500, 0.796) (multiplicity 2)
Br (0.000, 0.000, 0.473) (multiplicity 2)
Br (0.000, 0.500, 0.163) (multiplicity 2)

magnetic moment: 0.42 μB/f.u.
uncorrected energy: -15.7 eV per formula unit
formation energy without anion corrections: -714 meV/atom
offset from the most stable computed form: 496.6 meV/atom
crystal system: orthorhombic

---

(2)
The following is a GGA-PBE calculation of a relaxed structure of ScTe2Br, from Alexandria via LeMat-Bulk.

Unit cell a=5.277 b=5.277 c=7.425 alpha=90.00 beta=90.00 gamma=90.00
Space group I-4m2 (No. 119)
Unique sites:
Sc (0.000, 0.000, 0.000) (multiplicity 2)
Te (0.000, 0.000, 0.500) (multiplicity 2)
Te (0.000, 0.500, 0.250) (multiplicity 2)
Br (0.000, 0.500, 0.750) (multiplicity 2)

magnetic moment: 0.00 μB/f.u.
uncorrected energy: -15.6 eV per formula unit
formation energy without anion corrections: -328 meV/atom
offset from the most stable computed form: 627.9 meV/atom
crystal system: tetragonal

---

(3)
The following is a GGA-PBE calculation of a relaxed structure of ScTiTeBr2, from Alexandria via LeMat-Bulk.

Unit cell a=5.921 b=5.921 c=5.211 alpha=90.00 beta=90.00 gamma=90.00
Space group P4/mmm (No. 123)
Unique sites:
Sc (0.000, 0.000, 0.000) (multiplicity 1)
Ti (0.500, 0.500, 0.000) (multiplicity 1)
Te (0.500, 0.500, 0.500) (multiplicity 1)
Br (0.000, 0.500, 0.500) (multiplicity 2)

magnetic moment: 4.25 μB/f.u.
uncorrected energy: -17.9 eV per formula unit
formation energy without anion corrections: 560 meV/atom
crystal system: tetragonal